1.
BaSrBiF2 | Alexandria | PBE | relaxed; energy relative to the elements, uncorrected = -2.6576 eV/atom; density = 5.85 g/cm³; D(E_F) = 1.9 states/eV per cell
1.0
4.217 0.000 0.000
0.000 4.217 0.000
-2.108 -2.108 7.536
Ba Sr Bi F
1 1 1 2
Direct
0.148 0.148 0.295
0.846 0.846 0.692
0.493 0.493 0.986
0.757 0.257 0.513
0.257 0.757 0.513

---

2.
Ba4Sr2Bi3F2 | Alexandria | PBE | relaxed; energy relative to the elements, uncorrected = -1.6140 eV/atom; density = 5.68 g/cm³; D(E_F) = 3.6 states/eV per cell
1.0
-3.474 0.908 4.060
0.586 -5.129 1.648
11.950 5.925 5.282
Ba Sr Bi F
4 2 3 2
Direct
0.416 0.916 0.833
0.916 0.416 0.833
0.084 0.584 0.167
0.584 0.084 0.167
0.299 0.299 0.597
0.701 0.701 0.403
0.000 0.000 0.000
0.177 0.177 0.354
0.823 0.823 0.646
0.392 0.392 0.784
0.608 0.608 0.216

---

3.
BaTiBiF2 | Alexandria | PBE | relaxed; energy relative to the elements, uncorrected = -1.2774 eV/atom; density = 4.46 g/cm³; D(E_F) = 6.3 states/eV per cell
1.0
-2.335 -3.699 -0.450
6.548 -4.443 2.544
-1.373 0.360 4.162
F Ti Bi Ba
2 1 1 1
Direct
0.000 0.000 0.500
0.500 0.000 0.000
0.000 0.000 0.000
0.500 0.500 0.500
0.000 0.500 0.000